The following is a PBE-GGA calculation of a relaxed structure of POsO, from the Alexandria database.

## Properties
As for the final energy: -7.908 eV per atom.

Cell and atoms, written as CIF:
```
data_POsO
_space_group_name_H-M_alt 'P 1 21 1'
_space_group_IT_number 4
_cell_length_a 5.4241
_cell_length_b 5.4610
_cell_length_c 5.4624
_cell_angle_alpha 90.00
_cell_angle_beta 112.01
_cell_angle_gamma 90.00
loop_
_space_group_symop_operation_xyz
'x,y,z'
'-x,y+1/2,-z'
loop_
_atom_site_label
_atom_site_type_symbol
_atom_site_fract_x
_atom_site_fract_y
_atom_site_fract_z
P1 P 0.1692 0.0000 0.0961
P2 P 0.3200 0.4938 0.4414
Os1 Os 0.2672 0.1090 0.5369
Os2 Os 0.2738 0.6104 0.0285
O1 O 0.1745 0.6859 0.5931
O2 O 0.3232 0.2015 0.9521
```



The following is a PBE-GGA calculation of a relaxed structure of DyAgPdRh, from the Alexandria database.

## Properties
The calculated formation energy comes out at -49.91 kJ per mole of atoms. As for the final energy: -5.517 eV per atom.

Cell and atoms, written as CIF:
```
data_DyAgPdRh
_space_group_name_H-M_alt 'F -4 3 m'
_space_group_IT_number 216
_space_group_name_Hall 'F -4 2 3'
_cell_length_a 6.6243
_cell_length_b 6.6243
_cell_length_c 6.6243
_cell_angle_alpha 90.00
_cell_angle_beta 90.00
_cell_angle_gamma 90.00
loop_
_atom_site_label
_atom_site_type_symbol
_atom_site_fract_x
_atom_site_fract_y
_atom_site_fract_z
Dy1 Dy 0.0000 0.0000 0.0000
Ag1 Ag 0.0000 0.0000 0.5000
Pd1 Pd 0.2500 0.2500 0.2500
Rh1 Rh 0.2500 0.2500 0.7500
```



The following is a PBE-GGA calculation of a relaxed structure of Ce2PrOs2, from the Alexandria database.

## Properties
The calculated formation energy comes out at 0.00 kJ per mole of atoms. As for the final energy: -7.821 eV per atom.

Cell and atoms, written as CIF:
```
data_Ce2PrOs2
_space_group_name_H-M_alt 'C 1 2/m 1'
_space_group_IT_number 12
_cell_length_a 6.5688
_cell_length_b 6.2104
_cell_length_c 6.7110
_cell_angle_alpha 90.00
_cell_angle_beta 116.82
_cell_angle_gamma 90.00
loop_
_space_group_symop_operation_xyz
'x,y,z'
'-x,-y,-z'
'-x,y,-z'
'x,-y,z'
'x+1/2,y+1/2,z'
'-x+1/2,-y+1/2,-z'
'-x+1/2,y+1/2,-z'
'x+1/2,-y+1/2,z'
loop_
_atom_site_label
_atom_site_type_symbol
_atom_site_fract_x
_atom_site_fract_y
_atom_site_fract_z
Ce1 Ce 0.0000 0.2336 0.0000
Pr1 Pr 0.0000 0.0000 0.5000
Os1 Os 0.0590 0.5000 0.7089
```



The following is a PBE-GGA calculation of a relaxed structure of TiGaRe2Sb, from the Alexandria database.

## Properties
As for the final energy: -6.564 eV per atom.

Cell and atoms, written as CIF:
```
data_TiGaRe2Sb
_space_group_name_H-M_alt 'P 4/m m m'
_space_group_IT_number 123
_space_group_name_Hall '-P 4 2'
_cell_length_a 4.6743
_cell_length_b 4.6743
_cell_length_c 4.7435
_cell_angle_alpha 90.00
_cell_angle_beta 90.00
_cell_angle_gamma 90.00
loop_
_atom_site_label
_atom_site_type_symbol
_atom_site_fract_x
_atom_site_fract_y
_atom_site_fract_z
Ti1 Ti 0.0000 0.0000 0.0000
Ga1 Ga 0.0000 0.0000 0.5000
Re1 Re 0.0000 0.5000 0.0000
Sb1 Sb 0.5000 0.5000 0.5000
```



The following is a PBE-GGA calculation of a relaxed structure of U2PaV, from the Alexandria database.

## Properties
The calculated formation energy comes out at 28.08 kJ per mole of atoms. As for the final energy: -10.007 eV per atom.

Cell and atoms, written as CIF:
```
data_U2PaV
_space_group_name_H-M_alt 'P 4/m m m'
_space_group_IT_number 123
_space_group_name_Hall '-P 4 2'
_cell_length_a 3.6477
_cell_length_b 3.6477
_cell_length_c 6.0606
_cell_angle_alpha 90.00
_cell_angle_beta 90.00
_cell_angle_gamma 90.00
loop_
_atom_site_label
_atom_site_type_symbol
_atom_site_fract_x
_atom_site_fract_y
_atom_site_fract_z
U1 U 0.0000 0.0000 0.2144
Pa1 Pa 0.5000 0.5000 0.5000
V1 V 0.5000 0.5000 0.0000
```



The following is a PBE-GGA calculation of a relaxed structure of Tb3PrPb, from the Alexandria database.

## Properties
The calculated formation energy comes out at -14.61 kJ per mole of atoms. As for the final energy: -4.627 eV per atom.

Cell and atoms, written as CIF:
```
data_Tb3PrPb
_space_group_name_H-M_alt 'P 1 21/c 1'
_space_group_IT_number 14
_cell_length_a 8.7319
_cell_length_b 8.8524
_cell_length_c 9.8264
_cell_angle_alpha 90.00
_cell_angle_beta 121.48
_cell_angle_gamma 90.00
loop_
_space_group_symop_operation_xyz
'x,y,z'
'-x,-y,-z'
'-x,y+1/2,-z+1/2'
'x,-y+1/2,z+1/2'
loop_
_atom_site_label
_atom_site_type_symbol
_atom_site_fract_x
_atom_site_fract_y
_atom_site_fract_z
Tb1 Tb 0.0920 0.1948 0.0524
Tb2 Tb 0.2395 0.5655 0.9644
Tb3 Tb 0.4049 0.5968 0.7013
Pr1 Pr 0.1930 0.5680 0.2927
Pb1 Pb 0.3972 0.2490 0.9546
```



The following is a PBE-GGA calculation of a relaxed structure of CsSrTiSe3, from the Alexandria database.

## Properties
As for the final energy: -4.796 eV per atom.

Cell and atoms, written as CIF:
```
data_CsSrTiSe3
_space_group_name_H-M_alt 'C 1 2/m 1'
_space_group_IT_number 12
_cell_length_a 17.0968
_cell_length_b 5.0048
_cell_length_c 9.6257
_cell_angle_alpha 90.00
_cell_angle_beta 104.48
_cell_angle_gamma 90.00
loop_
_space_group_symop_operation_xyz
'x,y,z'
'-x,-y,-z'
'-x,y,-z'
'x,-y,z'
'x+1/2,y+1/2,z'
'-x+1/2,-y+1/2,-z'
'-x+1/2,y+1/2,-z'
'x+1/2,-y+1/2,z'
loop_
_atom_site_label
_atom_site_type_symbol
_atom_site_fract_x
_atom_site_fract_y
_atom_site_fract_z
Cs1 Cs 0.1396 0.0000 0.0651
Sr1 Sr 0.1576 0.0000 0.5755
Ti1 Ti 0.0027 0.5000 0.3374
Se1 Se 0.0040 0.0000 0.3153
Se2 Se 0.1443 0.5000 0.7818
Se3 Se 0.1542 0.5000 0.3571
```



The following is a PBE-GGA calculation of a relaxed structure of ZnCr2Ru2, from the Alexandria database.

## Properties
The calculated formation energy comes out at 18.97 kJ per mole of atoms. As for the final energy: -7.618 eV per atom.

Cell and atoms, written as CIF:
```
data_ZnCr2Ru2
_space_group_name_H-M_alt 'P 4/m b m'
_space_group_IT_number 127
_space_group_name_Hall '-P 4 2ab'
_cell_length_a 7.1774
_cell_length_b 7.1774
_cell_length_c 2.7044
_cell_angle_alpha 90.00
_cell_angle_beta 90.00
_cell_angle_gamma 90.00
loop_
_atom_site_label
_atom_site_type_symbol
_atom_site_fract_x
_atom_site_fract_y
_atom_site_fract_z
Zn1 Zn 0.0000 0.0000 0.0000
Cr1 Cr 0.1606 0.3394 0.5000
Ru1 Ru 0.1335 0.6335 0.0000
```



The following is a PBE-GGA calculation of a relaxed structure of RbFeNi2, from the Alexandria database.

## Properties
The calculated formation energy comes out at 125.19 kJ per mole of atoms. As for the final energy: -3.951 eV per atom.

Cell and atoms, written as CIF:
```
data_RbFeNi2
_space_group_name_H-M_alt 'F m -3 m'
_space_group_IT_number 225
_space_group_name_Hall '-F 4 2 3'
_cell_length_a 6.5173
_cell_length_b 6.5173
_cell_length_c 6.5173
_cell_angle_alpha 90.00
_cell_angle_beta 90.00
_cell_angle_gamma 90.00
loop_
_atom_site_label
_atom_site_type_symbol
_atom_site_fract_x
_atom_site_fract_y
_atom_site_fract_z
Rb1 Rb 0.0000 0.0000 0.0000
Fe1 Fe 0.0000 0.0000 0.5000
Ni1 Ni 0.2500 0.2500 0.2500
```



The following is a PBE-GGA calculation of a relaxed structure of KCr3Hg, from the Alexandria database.

## Properties
The calculated formation energy comes out at 119.15 kJ per mole of atoms. As for the final energy: -4.819 eV per atom.

Cell and atoms, written as CIF:
```
data_KCr3Hg
_space_group_name_H-M_alt 'P m -3 m'
_space_group_IT_number 221
_space_group_name_Hall '-P 4 2 3'
_cell_length_a 5.3420
_cell_length_b 5.3420
_cell_length_c 5.3420
_cell_angle_alpha 90.00
_cell_angle_beta 90.00
_cell_angle_gamma 90.00
loop_
_atom_site_label
_atom_site_type_symbol
_atom_site_fract_x
_atom_site_fract_y
_atom_site_fract_z
K1 K 0.0000 0.0000 0.0000
Cr1 Cr 0.0000 0.5000 0.5000
Hg1 Hg 0.5000 0.5000 0.5000
```



The following is a PBE-GGA calculation of a relaxed structure of CeMg6Cd2, from the Alexandria database.

## Properties
The calculated formation energy comes out at -1.57 kJ per mole of atoms. As for the final energy: -1.942 eV per atom.

Cell and atoms, written as CIF:
```
data_CeMg6Cd2
_space_group_name_H-M_alt 'P -1'
_space_group_IT_number 2
_cell_length_a 3.0678
_cell_length_b 8.9471
_cell_length_c 9.1010
_cell_angle_alpha 119.30
_cell_angle_beta 98.45
_cell_angle_gamma 90.52
loop_
_space_group_symop_operation_xyz
'x,y,z'
'-x,-y,-z'
loop_
_atom_site_label
_atom_site_type_symbol
_atom_site_fract_x
_atom_site_fract_y
_atom_site_fract_z
Ce1 Ce 0.0000 0.0000 0.0000
Mg1 Mg 0.3258 0.0043 0.6561
Mg2 Mg 0.3352 0.6529 0.6556
Mg3 Mg 0.4837 0.6658 0.9994
Cd1 Cd 0.1367 0.6529 0.3057
```



The following is a PBE-GGA calculation of a relaxed structure of Sn2SbRuF, from the Alexandria database.

## Properties
As for the final energy: -3.948 eV per atom.

Cell and atoms, written as CIF:
```
data_Sn2SbRuF
_space_group_name_H-M_alt 'P 4/m m m'
_space_group_IT_number 123
_space_group_name_Hall '-P 4 2'
_cell_length_a 5.7875
_cell_length_b 5.7875
_cell_length_c 4.9600
_cell_angle_alpha 90.00
_cell_angle_beta 90.00
_cell_angle_gamma 90.00
loop_
_atom_site_label
_atom_site_type_symbol
_atom_site_fract_x
_atom_site_fract_y
_atom_site_fract_z
Sn1 Sn 0.0000 0.5000 0.0000
Sb1 Sb 0.0000 0.0000 0.0000
Ru1 Ru 0.0000 0.0000 0.5000
F1 F 0.5000 0.5000 0.5000
```



| no. | ρ (g/cm³) |
| --- | --- |
| 1 | 10.50 |
| 2 | 10.96 |
| 3 | 10.90 |
| 4 | 9.80 |
| 5 | 15.61 |
| 6 | 8.46 |
| 7 | 4.21 |
| 8 | 8.86 |
| 9 | 6.21 |
| 10 | 4.31 |
| 11 | 3.95 |
| 12 | 4.79 |